An optimized crystal structure of TiCu2Pt8. Source: Alexandria via LeMat-Bulk, functional PBE.

## Properties
- energy (eV/atom) = -6.24
- M_tot (μB/f.u.) = 0.0
- Fermi-level density of states (states/eV/f.u.) = 9.3
- calculated density (g/cm3) = 17.41

Cell lengths 14.053, 3.946, 6.218 Å; angles 90.00, 106.21, 90.00 degrees
Space group C2/m (No. 12)
Asymmetric unit:
Ti  0.000  0.000  0.000 [2 per cell]
Cu  0.226  0.500  0.633 [4 per cell]
Pt  0.047  0.500  0.727 [4 per cell]
Pt  0.095  0.000  0.448 [4 per cell]
Pt  0.135  0.500  0.182 [4 per cell]
Pt  0.182  0.000  0.916 [4 per cell]